This record from Alexandria via LeMat-Bulk describes crystalline Ce3Zn2Ni7 at its relaxed geometry. The functional is PBE.

The value obtained for the density is 8.71 g cm⁻³. The calculation puts the total moment at 0.5 Bohr magnetons per cell. As for the space group: R-3m. The value obtained for the formation enthalpy at 0 K is -370 meV/atom.

```
12
Lattice="4.866 0.000 1.523 2.195 4.343 1.523 -0.040 -0.024 8.661" Properties=species:S:1:pos:R:3 pbc="T T T"
Ce 0.000 0.000 0.000
Ce 6.042 3.716 6.301
Ce 0.979 0.602 5.406
Zn 4.679 2.878 10.653
Zn 2.341 1.440 1.054
Ni 3.510 2.159 5.853
Ni 5.348 1.814 4.189
Ni 4.031 3.955 4.189
Ni 2.949 1.814 3.438
Ni 1.673 2.504 7.518
Ni 4.071 2.504 8.269
Ni 2.989 0.363 7.518
```